Here is an optimized crystal structure of Ac3ReSe2O6 from the Alexandria database. Energies are from PBE.

Output
ΔE_f (raw) in eV per atom: -2.058
DOS at the Fermi energy in states/eV per atom: 0.07
Raw total energy in eV/atom: -7.182

Lattice parameters (Å, degrees): 7.474 7.474 5.304 93.69 93.69 56.52
Positions (direct):
Ac1 0.000 0.000 0.000
Ac2 0.000 0.500 0.500
Ac3 0.500 0.000 0.500
Re1 0.500 0.500 0.500
Se1 0.219 0.219 0.943
Se2 0.781 0.781 0.057
O1 0.250 0.654 0.707
O2 0.346 0.750 0.293
O3 0.364 0.364 0.349
O4 0.636 0.636 0.651
O5 0.654 0.250 0.707
O6 0.750 0.346 0.293

Here is an optimized crystal structure of BaNaCuAs2 from the Alexandria database. Energies are from PBE.

Output
DOS at the Fermi energy in states/eV per atom: 0.40
E_form in eV/atom: -0.4836
Raw total energy in eV/atom: -3.811

Lattice parameters (Å, degrees): 5.499 6.611 6.770 90.00 90.00 90.00
Positions (direct):
Ba1 0.250 0.000 0.218
Ba2 0.750 0.000 0.782
Na1 0.250 0.500 0.391
Na2 0.750 0.500 0.609
Cu1 0.000 0.500 0.000
Cu2 0.500 0.500 0.000
As1 0.250 0.279 0.775
As2 0.250 0.721 0.775
As3 0.750 0.279 0.225
As4 0.750 0.721 0.225

Here is an optimized crystal structure of SmBe2SiPd2 from the Alexandria database. Energies are from PBE.

Output
ΔE_f (raw) in eV per atom: -0.236
DOS at the Fermi energy in states/eV per atom: 0.26
Raw total energy in eV/atom: -4.899

Lattice parameters (Å, degrees): 4.149 4.149 5.686 90.00 90.00 90.00
Positions (direct):
Sm1 0.000 0.000 0.000
Be1 0.000 0.500 0.500
Be2 0.500 0.000 0.500
Si1 0.000 0.000 0.500
Pd1 0.500 0.500 0.251
Pd2 0.500 0.500 0.749

Here is an optimized crystal structure of TmAl2Fe2C from the Alexandria database. Energies are from PBE.

Output
DOS at the Fermi energy in states/eV per atom: 0.43
E_form in eV/atom: -0.3169
Raw total energy in eV/atom: -6.668

Lattice parameters (Å, degrees): 3.845 3.845 5.510 90.00 90.00 90.00
Positions (direct):
Tm1 0.000 0.000 0.000
Al1 0.500 0.500 0.233
Al2 0.500 0.500 0.767
Fe1 0.000 0.500 0.500
Fe2 0.500 0.000 0.500
C1 0.000 0.000 0.500

Here is an optimized crystal structure of NaSr2BrO from the Alexandria database. Energies are from PBE.

Output
ΔE_f (raw) in eV per atom: -1.297
DOS at the Fermi energy in states/eV per atom: 0.15
Raw total energy in eV/atom: -3.560

Lattice parameters (Å, degrees): 4.886 4.886 7.230 90.00 90.00 90.00
Positions (direct):
Na1 0.000 0.000 0.000
Sr1 0.000 0.500 0.500
Sr2 0.500 0.000 0.500
Br1 0.500 0.500 0.000
O1 0.500 0.500 0.500

Here is an optimized crystal structure of PrDy5Tm2 from the Alexandria database. Energies are from PBE.

Output
DOS at the Fermi energy in states/eV per atom: 1.59
E_form in eV/atom: 0.0666
Raw total energy in eV/atom: -4.525

Lattice parameters (Å, degrees): 6.062 8.292 11.385 105.33 98.50 107.28
Positions (direct):
Pr1 0.103 0.361 0.229
Pr2 0.897 0.639 0.771
Dy1 0.003 0.965 0.340
Dy2 0.184 0.724 0.093
Dy3 0.274 0.095 0.971
Dy4 0.440 0.835 0.713
Dy5 0.450 0.794 0.404
Dy6 0.550 0.206 0.596
Dy7 0.560 0.165 0.287
Dy8 0.726 0.905 0.029
Dy9 0.816 0.276 0.907
Dy10 0.997 0.035 0.660
Tm1 0.143 0.385 0.540
Tm2 0.366 0.461 0.848
Tm3 0.634 0.539 0.152
Tm4 0.857 0.615 0.460

Here is an optimized crystal structure of Pr2TlP from the Alexandria database. Energies are from PBE.

Output
DOS at the Fermi energy in states/eV per atom: 0.86
E_form in eV/atom: -0.8859
Raw total energy in eV/atom: -5.220

Lattice parameters (Å, degrees): 8.748 8.748 8.748 26.89 26.89 26.89
Positions (direct):
Pr1 0.000 0.000 0.000
Pr2 0.201 0.201 0.201
Tl1 0.767 0.767 0.767
P1 0.599 0.599 0.599

Here is an optimized crystal structure of Pm2B3Pt12Au from the Alexandria database. Energies are from PBE.

Output
DOS at the Fermi energy in states/eV per atom: 0.36
E_form in eV/atom: -0.3171
Raw total energy in eV/atom: -6.167

Lattice parameters (Å, degrees): 7.468 7.468 7.468 64.48 64.48 64.48
Positions (direct):
Pm1 0.102 0.102 0.102
Pm2 0.898 0.898 0.898
B1 0.000 0.500 0.500
B2 0.500 0.000 0.500
B3 0.500 0.500 0.000
Pt1 0.102 0.630 0.630
Pt2 0.175 0.175 0.589
Pt3 0.175 0.589 0.175
Pt4 0.370 0.370 0.898
Pt5 0.370 0.898 0.370
Pt6 0.411 0.825 0.825
Pt7 0.589 0.175 0.175
Pt8 0.630 0.102 0.630
Pt9 0.630 0.630 0.102
Pt10 0.825 0.411 0.825
Pt11 0.825 0.825 0.411
Pt12 0.898 0.370 0.370
Au1 0.500 0.500 0.500

Here is an optimized crystal structure of AcTb6Dy2Tm3 from the Alexandria database. Energies are from PBE.

Output
DOS at the Fermi energy in states/eV per atom: 1.32
E_form in eV/atom: 0.0342
Raw total energy in eV/atom: -4.508

Lattice parameters (Å, degrees): 6.189 6.189 11.839 94.99 94.99 119.98
Positions (direct):
Ac1 0.000 0.000 0.000
Tb1 0.086 0.422 0.256
Tb2 0.250 0.250 0.744
Tb3 0.422 0.086 0.256
Tb4 0.578 0.914 0.744
Tb5 0.750 0.750 0.256
Tb6 0.914 0.578 0.744
Dy1 0.333 0.667 0.000
Dy2 0.667 0.333 0.000
Tm1 0.167 0.833 0.500
Tm2 0.500 0.500 0.500
Tm3 0.833 0.167 0.500

Here is an optimized crystal structure of BaCdAu3 from the Alexandria database. Energies are from PBE.

Output
DOS at the Fermi energy in states/eV per atom: 0.89
E_form in eV/atom: 0.5233
Raw total energy in eV/atom: -2.011

Lattice parameters (Å, degrees): 6.102 6.102 6.102 90.00 90.00 90.00
Positions (direct):
Ba1 0.000 0.000 0.000
Cd1 0.500 0.500 0.500
Au1 0.000 0.000 0.500
Au2 0.000 0.500 0.000
Au3 0.500 0.000 0.000

Here is an optimized crystal structure of Nd2Ho3ErTm6 from the Alexandria database. Energies are from PBE.

Output
DOS at the Fermi energy in states/eV per atom: 1.33
E_form in eV/atom: 0.0230
Raw total energy in eV/atom: -4.532

Lattice parameters (Å, degrees): 6.114 6.114 11.669 95.00 95.00 119.95
Positions (direct):
Nd1 0.167 0.833 0.000
Nd2 0.833 0.167 0.000
Ho1 0.000 0.000 0.500
Ho2 0.334 0.666 0.500
Ho3 0.666 0.334 0.500
Er1 0.500 0.500 0.000
Tm1 0.083 0.415 0.747
Tm2 0.252 0.252 0.253
Tm3 0.415 0.083 0.747
Tm4 0.585 0.917 0.253
Tm5 0.748 0.748 0.747
Tm6 0.917 0.585 0.253

Here is an optimized crystal structure of Mg2FeSe from the Alexandria database. Energies are from PBE.

Output
ΔE_f (raw) in eV per atom: 0.014
DOS at the Fermi energy in states/eV per atom: 1.09
Raw total energy in eV/atom: -3.770

Lattice parameters (Å, degrees): 5.515 5.515 5.515 138.71 138.71 59.82
Positions (direct):
Mg1 0.000 0.000 0.000
Mg2 0.750 0.250 0.500
Fe1 0.500 0.500 0.000
Se1 0.250 0.750 0.500

Here is an optimized crystal structure of La3Pr4Tl from the Alexandria database. Energies are from PBE.

Output
DOS at the Fermi energy in states/eV per atom: 1.30
E_form in eV/atom: -0.0795
Raw total energy in eV/atom: -4.613

Lattice parameters (Å, degrees): 7.317 7.221 10.284 90.00 90.00 90.00
Positions (direct):
La1 0.000 0.002 0.000
La2 0.250 0.262 0.750
La3 0.250 0.738 0.250
La4 0.500 0.998 0.500
La5 0.750 0.262 0.750
La6 0.750 0.738 0.250
Pr1 0.000 0.000 0.500
Pr2 0.000 0.501 0.500
Pr3 0.250 0.264 0.250
Pr4 0.250 0.736 0.750
Pr5 0.500 0.000 0.000
Pr6 0.500 0.499 0.000
Pr7 0.750 0.264 0.250
Pr8 0.750 0.736 0.750
Tl1 0.000 0.501 0.000
Tl2 0.500 0.499 0.500

Here is an optimized crystal structure of InAs4Br from the Alexandria database. Energies are from PBE.

Output
ΔE_f (raw) in eV per atom: -0.002
Raw total energy in eV/atom: -3.837

Lattice parameters (Å, degrees): 6.320 6.320 6.320 60.00 60.00 60.00
Positions (direct):
In1 0.000 0.000 0.000
As1 0.207 0.598 0.598
As2 0.598 0.207 0.598
As3 0.598 0.598 0.207
As4 0.598 0.598 0.598
Br1 0.250 0.250 0.250

Here is an optimized crystal structure of MnTe2W from the Alexandria database. Energies are from PBE.

Output
ΔE_f (raw) in eV per atom: 0.367
DOS at the Fermi energy in states/eV per atom: 0.61
Raw total energy in eV/atom: -6.734

Lattice parameters (Å, degrees): 7.537 7.537 7.537 152.76 149.49 41.35
Positions (direct):
Mn1 0.000 0.000 0.000
Te1 0.548 0.548 0.000
Te2 0.805 0.305 0.500
W1 0.389 0.889 0.500

Here is an optimized crystal structure of Sm6Si2Br3Cl from the Alexandria database. Energies are from PBE.

Output
ΔE_f (raw) in eV per atom: -1.124
DOS at the Fermi energy in states/eV per atom: 0.43
Raw total energy in eV/atom: -4.960

Lattice parameters (Å, degrees): 7.251 7.251 7.554 99.20 99.20 120.17
Positions (direct):
Sm1 0.086 0.431 0.791
Sm2 0.225 0.225 0.207
Sm3 0.431 0.086 0.791
Sm4 0.569 0.914 0.209
Sm5 0.775 0.775 0.793
Sm6 0.914 0.569 0.209
Si1 0.167 0.833 0.000
Si2 0.833 0.167 0.000
Br1 0.000 0.000 0.500
Br2 0.332 0.668 0.500
Br3 0.668 0.332 0.500
Cl1 0.500 0.500 0.000

Here is an optimized crystal structure of NaGe3Pt from the Alexandria database. Energies are from PBE.

Output
DOS at the Fermi energy in states/eV per atom: 0.36
E_form in eV/atom: -0.1377
Raw total energy in eV/atom: -4.380

Lattice parameters (Å, degrees): 8.265 8.265 6.342 107.68 107.68 85.80
Positions (direct):
Na1 0.018 0.982 0.750
Na2 0.408 0.592 0.250
Na3 0.592 0.408 0.750
Na4 0.982 0.018 0.250
Ge1 0.046 0.647 0.947
Ge2 0.055 0.664 0.378
Ge3 0.252 0.287 0.310
Ge4 0.287 0.252 0.810
Ge5 0.336 0.945 0.122
Ge6 0.353 0.954 0.553
Ge7 0.647 0.046 0.447
Ge8 0.664 0.055 0.878
Ge9 0.713 0.748 0.190
Ge10 0.748 0.713 0.690
Ge11 0.945 0.336 0.622
Ge12 0.954 0.353 0.053
Pt1 0.226 0.515 0.677
Pt2 0.485 0.774 0.823
Pt3 0.515 0.226 0.177
Pt4 0.774 0.485 0.323

Here is an optimized crystal structure of B5C7 from the Alexandria database. Energies are from PBE.

Output
DOS at the Fermi energy in states/eV per atom: 0.17
E_form in eV/atom: 0.3538
Raw total energy in eV/atom: -7.809

Lattice parameters (Å, degrees): 4.712 2.544 6.596 90.00 93.10 90.00
Positions (direct):
B1 0.000 0.000 0.000
B2 0.129 0.500 0.429
B3 0.300 0.000 0.296
B4 0.486 0.500 0.745
B5 0.699 0.000 0.425
C1 0.153 0.500 0.673
C2 0.347 0.000 0.064
C3 0.497 0.500 0.000
C4 0.681 0.000 0.664
C5 0.806 0.500 0.089
C6 0.807 0.500 0.314
C7 0.998 0.000 0.741

Here is an optimized crystal structure of Cd2Hg2F7 from the Alexandria database. Energies are from PBE.

Output
ΔE_f (raw) in eV per atom: -1.726
DOS at the Fermi energy in states/eV per atom: 0.18
Raw total energy in eV/atom: -3.138

Lattice parameters (Å, degrees): 5.475 5.475 5.624 90.29 90.29 80.90
Positions (direct):
Cd1 0.223 0.223 0.000
Cd2 0.777 0.777 0.000
Hg1 0.291 0.709 0.500
Hg2 0.709 0.291 0.500
F1 0.001 0.001 0.250
F2 0.002 0.501 0.259
F3 0.499 0.998 0.741
F4 0.500 0.500 0.000
F5 0.501 0.002 0.259
F6 0.998 0.499 0.741
F7 0.999 0.999 0.750

Here is an optimized crystal structure of AsH4Br3 from the Alexandria database. Energies are from PBE.

Output
Raw total energy in eV/atom: -2.844

Lattice parameters (Å, degrees): 5.816 7.149 8.838 90.00 90.00 90.00
Positions (direct):
As1 0.250 0.250 0.064
As2 0.750 0.750 0.936
H1 0.038 0.250 0.959
H2 0.250 0.068 0.157
H3 0.250 0.432 0.157
H4 0.462 0.250 0.959
H5 0.538 0.750 0.041
H6 0.750 0.568 0.843
H7 0.750 0.932 0.843
H8 0.962 0.750 0.041
Br1 0.250 0.587 0.672
Br2 0.250 0.750 0.225
Br3 0.250 0.913 0.672
Br4 0.750 0.087 0.328
Br5 0.750 0.250 0.775
Br6 0.750 0.413 0.328

Here is an optimized crystal structure of Th8Te4RuPt3 from the Alexandria database. Energies are from PBE.

Output
ΔE_f (raw) in eV per atom: -1.106
DOS at the Fermi energy in states/eV per atom: 0.86
Raw total energy in eV/atom: -7.314

Lattice parameters (Å, degrees): 8.464 8.464 9.096 117.76 117.76 59.92
Positions (direct):
Th1 0.231 0.744 0.707
Th2 0.232 0.232 0.707
Th3 0.256 0.769 0.293
Th4 0.264 0.264 0.293
Th5 0.736 0.736 0.707
Th6 0.744 0.231 0.707
Th7 0.768 0.768 0.293
Th8 0.769 0.256 0.293
Te1 0.000 0.000 0.000
Te2 0.000 0.500 0.000
Te3 0.500 0.000 0.000
Te4 0.500 0.500 0.000
Ru1 0.000 0.000 0.500
Pt1 0.000 0.500 0.500
Pt2 0.500 0.000 0.500
Pt3 0.500 0.500 0.500

Here is an optimized crystal structure of La2VN2 from the Alexandria database. Energies are from PBE.

Output
ΔE_f (raw) in eV per atom: 0.148
DOS at the Fermi energy in states/eV per atom: 0.70
Raw total energy in eV/atom: -6.977

Lattice parameters (Å, degrees): 7.375 7.375 3.261 90.00 90.00 90.00
Positions (direct):
La1 0.150 0.350 0.000
La2 0.350 0.850 0.000
La3 0.650 0.150 0.000
La4 0.850 0.650 0.000
V1 0.000 0.000 0.000
V2 0.500 0.500 0.000
N1 0.167 0.667 0.500
N2 0.333 0.167 0.500
N3 0.667 0.833 0.500
N4 0.833 0.333 0.500